Entry 1:
This record from Alexandria describes crystalline TaCuSb2 at its relaxed geometry. The functional is PBE.

Calculated values
Formation energy without anion corrections (eV/f.u.): 0.64
VASP energy (eV/atom): -5.887
Magnetization (μB/atom): 0.000
DOS at the Fermi energy (states/eV per cell): 2.3
E above lowest polymorph (meV per atom): 134
Symmetry: P4/mmm (123)

```
TaCuSb2
1.0
-0.733 3.341 -1.065
-2.947 0.002 2.037
3.239 2.204 4.683
Cu Ta Sb
1 1 2
Cartesian
0.589 3.325 3.999
-1.031 2.223 1.657
3.238 2.203 4.682
1.620 1.103 2.343
```

Entry 2:
This record from Alexandria describes crystalline TaCuSb2 at its relaxed geometry. The functional is PBE.

Calculated values
Formation energy without anion corrections (eV/f.u.): 0.69
VASP energy (eV/atom): -5.875
Magnetization (μB/atom): 0.000
DOS at the Fermi energy (states/eV per cell): 1.1
E above lowest polymorph (meV per atom): 147
Symmetry: P4mm (99)

```
TaCuSb2
1.0
3.549 0.000 0.000
0.000 3.550 0.000
0.000 0.000 7.143
Cu Ta Sb
1 1 2
Cartesian
1.774 1.775 5.186
0.000 0.000 3.760
0.000 0.000 6.504
1.774 1.775 2.409
```

Entry 3:
This record from Alexandria describes crystalline TaCuSb2 at its relaxed geometry. The functional is PBE.

Calculated values
Formation energy without anion corrections (eV/f.u.): 1.48
VASP energy (eV/atom): -5.679
Magnetization (μB/atom): 0.000
DOS at the Fermi energy (states/eV per cell): 2.9
E above lowest polymorph (meV per atom): 342
Symmetry: C2/m (12)

```
TaCuSb2
1.0
5.011 -0.027 0.028
4.037 2.969 0.028
0.401 0.130 5.417
Ta Cu Sb
1 1 2
Cartesian
7.087 2.305 4.105
2.362 0.768 1.368
0.566 0.184 5.380
4.560 1.483 2.775
```